# 1
First-principles (PBE) data for crystalline ScMoPCl2 at its relaxed geometry, as listed in Alexandria.

Computed properties:
electronic total energy = -5.326 eV per atom
symmetry = No. 123
polymorph energy (0 for the lowest one) = 0.000 eV per atom

a b c (Å): 4.752 4.752 5.422
angles (deg): 90.00 90.00 90.00
Last column: magnetic moment on the atom in μB.
Fractional positions:
Cl 0.000 0.500 0.000  0.02
Cl 0.500 0.000 0.000  0.02
Sc 0.000 0.000 0.000  0.00
P 0.000 0.000 0.500  -0.20
Mo 0.500 0.500 0.500  3.65

---

# 2
First-principles (PBE) data for crystalline Zr3Os4 at its relaxed geometry, as listed in Alexandria.

Computed properties:
electronic total energy = -9.941 eV per atom
symmetry = No. 139
polymorph energy (0 for the lowest one) = 0.000 eV per atom

a b c (Å): 11.654 11.654 11.654
angles (deg): 163.90 163.90 22.85
Fractional positions:
Zr 0.292 0.292 0.000
Zr 0.708 0.708 0.000
Zr 0.000 0.000 0.000
Os 0.141 0.141 0.000
Os 0.432 0.432 0.000
Os 0.859 0.859 0.000
Os 0.568 0.568 0.000

---

# 3
First-principles (PBE) data for crystalline AcLa2Zn2Si2 at its relaxed geometry, as listed in Alexandria.

Computed properties:
electronic total energy = -4.362 eV per atom
symmetry = No. 166

a b c (Å): 4.208 4.208 12.510
angles (deg): 80.32 80.32 60.00
Last column: magnetic moment on the atom in μB.
Fractional positions:
La 0.122 0.122 0.635  0.15
La 0.878 0.878 0.365  0.15
Si 0.269 0.269 0.194  0.00
Si 0.731 0.731 0.806  0.00
Ac 0.000 0.000 0.000  0.01
Zn 0.603 0.603 0.192  0.00
Zn 0.397 0.397 0.808  0.00

---

# 4
First-principles (PBE) data for crystalline Ho3ScO6 at its relaxed geometry, as listed in Alexandria.

Computed properties:
electronic total energy = -8.586 eV per atom
symmetry = No. 148

a b c (Å): 6.574 6.574 6.574
angles (deg): 91.99 91.99 91.99
Fractional positions:
Ho 0.747 0.932 0.439
Ho 0.068 0.561 0.253
Ho 0.253 0.068 0.561
Ho 0.932 0.439 0.747
Ho 0.439 0.747 0.932
Ho 0.561 0.253 0.068
O 0.807 0.594 0.464
O 0.070 0.914 0.307
O 0.406 0.536 0.193
O 0.930 0.086 0.693
O 0.307 0.070 0.914
O 0.086 0.693 0.930
O 0.914 0.307 0.070
O 0.193 0.406 0.536
O 0.536 0.193 0.406
O 0.594 0.464 0.807
O 0.693 0.930 0.086
O 0.464 0.807 0.594
Sc 0.000 0.000 0.000
Sc 0.500 0.500 0.500

---

# 5
First-principles (PBE) data for crystalline Cr2AgP at its relaxed geometry, as listed in Alexandria.

Computed properties:
electronic total energy = -6.743 eV per atom
symmetry = No. 123

a b c (Å): 2.919 2.919 6.289
angles (deg): 90.00 90.00 90.00
Last column: magnetic moment on the atom in μB.
Fractional positions:
Cr 0.000 0.000 0.439  0.42
Cr 0.000 0.000 0.061  0.42
Ag 0.500 0.500 0.750  0.01
P 0.500 0.500 0.250  -0.04

---

# 6
First-principles (PBE) data for crystalline AcNd2Ga2 at its relaxed geometry, as listed in Alexandria.

Computed properties:
electronic total energy = -4.293 eV per atom
symmetry = No. 12
polymorph energy (0 for the lowest one) = 0.025 eV per atom

a b c (Å): 4.164 5.954 6.622
angles (deg): 100.76 108.32 90.00
Fractional positions:
Nd 0.361 0.434 0.721
Nd 0.639 0.566 0.279
Ga 0.720 0.107 0.440
Ga 0.280 0.893 0.560
Ac 0.000 0.000 0.000

---

# 7
First-principles (PBE) data for crystalline TbPm2In3Te6 at its relaxed geometry, as listed in Alexandria.

Computed properties:
electronic total energy = -4.419 eV per atom
symmetry = No. 12

a b c (Å): 7.748 7.748 8.514
angles (deg): 98.74 98.74 120.00
Fractional positions:
Pm 0.666 0.334 0.000
Pm 0.334 0.666 0.000
Te 0.074 0.403 0.223
Te 0.926 0.597 0.777
Te 0.253 0.253 0.775
Te 0.403 0.074 0.223
Te 0.747 0.747 0.225
Te 0.597 0.926 0.777
In 0.500 0.500 0.500
In 0.168 0.832 0.500
In 0.832 0.168 0.500
Tb 0.000 0.000 0.000

---

# 8
First-principles (PBE) data for crystalline Sm2BeSiAu6 at its relaxed geometry, as listed in Alexandria.

Computed properties:
electronic total energy = -4.297 eV per atom
symmetry = No. 2

a b c (Å): 6.603 6.636 6.554
angles (deg): 60.51 60.27 90.27
Fractional positions:
Si 0.500 0.500 0.000
Au 0.692 0.819 0.485
Au 0.306 0.821 0.005
Au 0.828 0.819 0.867
Au 0.308 0.181 0.515
Au 0.694 0.179 0.995
Au 0.172 0.181 0.133
Sm 0.209 0.621 0.586
Sm 0.791 0.379 0.414
Be 0.000 0.000 0.000

---

# 9
First-principles (PBE) data for crystalline NaThPdAu at its relaxed geometry, as listed in Alexandria.

Computed properties:
electronic total energy = -4.765 eV per atom
symmetry = No. 216

a b c (Å): 5.037 5.037 5.037
angles (deg): 60.00 60.00 60.00
Fractional positions:
Na 0.500 0.500 0.500
Pd 0.250 0.250 0.250
Th 0.000 0.000 0.000
Au 0.750 0.750 0.750

---

# 10
First-principles (PBE) data for crystalline Ag2H2Pd at its relaxed geometry, as listed in Alexandria.

Computed properties:
electronic total energy = -3.433 eV per atom
symmetry = No. 127
polymorph energy (0 for the lowest one) = 0.044 eV per atom

a b c (Å): 5.513 5.513 4.062
angles (deg): 90.00 90.00 90.00
Fractional positions:
H 0.732 0.768 0.000
H 0.268 0.232 0.000
H 0.768 0.268 0.000
H 0.232 0.732 0.000
Ag 0.805 0.305 0.500
Ag 0.195 0.695 0.500
Ag 0.305 0.195 0.500
Ag 0.695 0.805 0.500
Pd 0.500 0.500 0.000
Pd 0.000 0.000 0.000